{
  "formula": "Cs2Te2Au",
  "functional": "GGA-PBE",
  "state": "optimized geometry",
  "final_energy_ev_per_atom": -2.92,
  "mass_density_g_cm3": 5.50,
  "lattice_angstrom": [[-0.002, -4.229, 0.004], [-6.745, 2.113, -0.934], [-0.485, 0.007, -7.664]],
  "species": ["Au", "Cs", "Cs", "Te", "Te"],
  "frac_coords": [[0.500, 0.000, 0.000], [0.158, 0.313, 0.283], [0.842, 0.687, 0.717], [0.896, 0.790, 0.198], [0.104, 0.210, 0.802]]
}